# 1
The following is a DFT calculation (meta-GGA SCAN) of ZnPt2Rh at its PBEsol-relaxed geometry.

a b c (Å): 4.6669 4.6669 4.6669
angles (deg): 131.00 131.00 71.81
Element x y z (fractional)
Zn (0.0000, 0.0000, 0.0000)
Pt (0.5000, 0.5000, 0.0000)
Pt (0.7500, 0.2500, 0.5000)
Rh (0.2500, 0.7500, 0.5000)

Results
Its calculated total energy is -188.724 eV/cell. The calculation puts the density at 16.38 g/cm3. As for the formation energy: -0.263 eV/atom. Its magnetic moment is 0.00 μB per cell.



# 2
The following is a DFT calculation (meta-GGA SCAN) of Ga2Tc2P at its PBEsol-relaxed geometry.

a b c (Å): 6.1589 6.1589 3.8601
angles (deg): 90.00 90.00 90.00
Element x y z (fractional)
Ga (0.1482, 0.3518, 0.0000)
Ga (0.3518, 0.8518, 0.0000)
Ga (0.6482, 0.1482, 0.0000)
Ga (0.8518, 0.6482, 0.0000)
Tc (0.1613, 0.6613, 0.5000)
Tc (0.3387, 0.1613, 0.5000)
Tc (0.6613, 0.8387, 0.5000)
Tc (0.8387, 0.3387, 0.5000)
P (0.0000, 0.0000, 0.5000)
P (0.5000, 0.5000, 0.5000)

Results
Its calculated total energy is -228.571 eV/cell. The calculation puts the density at 8.31 g/cm3. As for the formation energy: -0.215 eV/atom. Its magnetic moment is 0.00 μB per cell.



# 3
The following is a DFT calculation (meta-GGA SCAN) of NaMgF3 at its PBEsol-relaxed geometry.

a b c (Å): 3.9041 3.9041 3.9041
angles (deg): 90.00 90.00 90.00
Element x y z (fractional)
Na (0.0000, 0.0000, 0.0000)
Mg (0.5000, 0.5000, 0.5000)
F (0.0000, 0.5000, 0.5000)
F (0.5000, 0.0000, 0.5000)
F (0.5000, 0.5000, 0.0000)

Results
The uncorrected formation energy is -331.2 kJ/mol of atoms. Its calculated total energy is -36.970 eV/cell. The calculation puts the density at 2.91 g/cm3. Its magnetic moment is 0.00 μB per cell.



# 4
The following is a DFT calculation (meta-GGA SCAN) of ReSbAu2 at its PBEsol-relaxed geometry.

a b c (Å): 4.9170 4.9170 4.9170
angles (deg): 129.24 129.24 74.62
Element x y z (fractional)
Re (0.0000, 0.0000, 0.0000)
Sb (0.2500, 0.7500, 0.5000)
Au (0.5000, 0.5000, 0.0000)
Au (0.7500, 0.2500, 0.5000)

Results
The uncorrected formation energy is 63.5 kJ/mol of atoms. Its calculated total energy is -244.038 eV/cell. The calculation puts the density at 16.78 g/cm3. Its magnetic moment is 0.00 μB per cell.



# 5
The following is a DFT calculation (meta-GGA SCAN) of Sn2BiBH at its PBEsol-relaxed geometry.

a b c (Å): 5.5036 5.5036 3.2011
angles (deg): 90.00 90.00 90.00
Element x y z (fractional)
Sn (0.0000, 0.5000, 0.0000)
Sn (0.5000, 0.0000, 0.0000)
Bi (0.0000, 0.0000, 0.5000)
B (0.5000, 0.5000, 0.5000)
H (0.5000, 0.5000, 0.0000)

Results
Its calculated total energy is -156.488 eV/cell. The calculation puts the density at 7.85 g/cm3. Its magnetic moment is 0.00 μB per cell.



# 6
The following is a DFT calculation (meta-GGA SCAN) of Pb2W at its PBEsol-relaxed geometry.

a b c (Å): 3.1219 3.1219 8.4623
angles (deg): 90.00 90.00 120.00
Element x y z (fractional)
Pb (0.3333, 0.6667, 0.2874)
Pb (0.6667, 0.3333, 0.7126)
W (0.0000, 0.0000, 0.0000)

Results
Its energy above the most stable polymorph in this dataset is 0 meV per atom. Its calculated total energy is -218.657 eV/cell. The calculation puts the density at 13.91 g/cm3. As for the formation energy: 0.865 eV/atom. Its magnetic moment is 0.00 μB per cell.